PBE PrNdAg2, optimized geometry; DFT formation energy = -263.4 meV per atom; total energy = -4.06 eV/atom; theoretical density = 7.709 g/cm³
1.0
-1.6795 -2.0595 -4.0763
4.7149 -3.5514 -0.1483
-3.7039 -5.0885 4.0969
Ag Pr Nd
4 2 2
Direct
0.0000 0.8854 0.5391 Ag
0.0000 0.1146 0.0391 Ag
0.5000 0.6123 0.4606 Ag
0.5000 0.3877 0.9606 Ag
0.5000 0.8851 0.8210 Pr
0.5000 0.1149 0.3210 Pr
0.0000 0.6151 0.1793 Nd
0.0000 0.3849 0.6793 Nd